Record 1
BeCoHg4 | PBE-GGA | optimized geometry

a b c (Å): 5.703 5.703 5.703
angles (deg): 60.00 60.00 60.00
Fractional positions:
Be: 0.000 0.000 0.000
Co: 0.750 0.750 0.750
Hg: 0.375 0.375 0.375
Hg: 0.375 0.375 0.875
Hg: 0.375 0.875 0.375
Hg: 0.875 0.375 0.375

- E (eV/atom) = -1.005
- D(E_F) (states/eV per atom) = 1.197
- space group = No. 216
- DFT formation energy (eV per formula unit) = 6.012



Record 2
BeCo2Hg | PBE-GGA | optimized geometry

a b c (Å): 2.883 2.883 21.729
angles (deg): 90.00 90.00 120.00
Fractional positions:
Be: 0.000 0.000 0.000
Be: 0.333 0.667 0.667
Be: 0.667 0.333 0.333
Co: 0.000 0.000 0.270
Co: 0.000 0.000 0.730
Co: 0.333 0.667 0.396
Co: 0.333 0.667 0.937
Co: 0.667 0.333 0.063
Co: 0.667 0.333 0.604
Hg: 0.000 0.000 0.500
Hg: 0.333 0.667 0.167
Hg: 0.667 0.333 0.833

- excess energy over the best structure of this formula in the dataset (meV per atom) = 206.4
- E (eV/atom) = -4.162
- D(E_F) (states/eV per atom) = 0.970
- space group = No. 166
- DFT formation energy (eV per formula unit) = 1.591



Record 3
BeCo2Hg | PBE-GGA | optimized geometry

a b c (Å): 3.618 3.618 17.299
angles (deg): 90.00 90.00 90.00
Fractional positions:
Be: 0.000 0.000 0.000
Be: 0.000 0.500 0.250
Be: 0.500 0.000 0.750
Be: 0.500 0.500 0.500
Co: 0.179 0.250 0.125
Co: 0.250 0.679 0.375
Co: 0.250 0.821 0.875
Co: 0.321 0.250 0.625
Co: 0.679 0.750 0.625
Co: 0.750 0.179 0.875
Co: 0.750 0.321 0.375
Co: 0.821 0.750 0.125
Hg: 0.000 0.000 0.500
Hg: 0.000 0.500 0.750
Hg: 0.500 0.000 0.250
Hg: 0.500 0.500 0.000

- excess energy over the best structure of this formula in the dataset (meV per atom) = 390.8
- E (eV/atom) = -3.978
- D(E_F) (states/eV per atom) = 0.803
- space group = No. 122
- DFT formation energy (eV per formula unit) = 2.329



Record 4
BeCo2Hg | PBE-GGA | optimized geometry

a b c (Å): 2.787 2.787 6.414
angles (deg): 90.00 90.00 90.00
Fractional positions:
Be: 0.000 0.000 0.000
Co: 0.500 0.500 0.183
Co: 0.500 0.500 0.817
Hg: 0.000 0.000 0.500

- excess energy over the best structure of this formula in the dataset (meV per atom) = 0.0
- E (eV/atom) = -4.369
- D(E_F) (states/eV per atom) = 1.080
- space group = No. 123
- DFT formation energy (eV per formula unit) = 0.766



Record 5
BeCo2Hg | PBE-GGA | optimized geometry

a b c (Å): 9.193 2.923 4.165
angles (deg): 90.00 116.77 90.00
Fractional positions:
Be: 0.000 0.000 0.000
Be: 0.500 0.500 0.000
Co: 0.217 0.500 0.216
Co: 0.283 0.000 0.784
Co: 0.717 0.000 0.216
Co: 0.783 0.500 0.784
Hg: 0.000 0.500 0.500
Hg: 0.500 0.000 0.500

- excess energy over the best structure of this formula in the dataset (meV per atom) = 109.6
- E (eV/atom) = -4.259
- D(E_F) (states/eV per atom) = 1.142
- space group = No. 12
- DFT formation energy (eV per formula unit) = 1.204



Record 6
BeCo2Hg | PBE-GGA | optimized geometry

a b c (Å): 5.053 7.302 2.829
angles (deg): 90.00 90.00 90.00
Fractional positions:
Be: 0.000 0.000 0.000
Be: 0.500 0.500 0.000
Co: 0.250 0.250 0.500
Co: 0.250 0.750 0.500
Co: 0.750 0.250 0.500
Co: 0.750 0.750 0.500
Hg: 0.000 0.500 0.000
Hg: 0.500 0.000 0.000

- excess energy over the best structure of this formula in the dataset (meV per atom) = 269.2
- E (eV/atom) = -4.099
- D(E_F) (states/eV per atom) = 1.407
- space group = No. 65
- DFT formation energy (eV per formula unit) = 1.842



Record 7
La2BeCoHg | PBE-GGA | optimized geometry

a b c (Å): 5.298 5.298 4.322
angles (deg): 90.00 90.00 90.00
Fractional positions:
La: 0.000 0.500 0.000
La: 0.500 0.000 0.000
Be: 0.000 0.000 0.500
Co: 0.000 0.000 0.000
Hg: 0.500 0.500 0.500

- E (eV/atom) = -4.373
- D(E_F) (states/eV per atom) = 0.759
- space group = No. 123
- DFT formation energy (eV per formula unit) = -0.878



Record 8
MnBeCoHg2 | PBE-GGA | optimized geometry

a b c (Å): 4.936 4.936 3.995
angles (deg): 90.00 90.00 90.00
Fractional positions:
Mn: 0.000 0.000 0.000
Be: 0.500 0.500 0.000
Co: 0.500 0.500 0.500
Hg: 0.000 0.500 0.500
Hg: 0.500 0.000 0.500

- E (eV/atom) = -3.367
- D(E_F) (states/eV per atom) = 0.922
- space group = No. 123
- DFT formation energy (eV per formula unit) = 3.769